{
  "formula": "LaCd2Cl",
  "functional": "PBEsol",
  "state": "relaxed",
  "cell": [[3.824, 0.000, 0.000], [0.000, 5.604, 0.000], [0.000, 0.000, 9.415]],
  "species": ["La", "La", "Cd", "Cd", "Cd", "Cd", "Cl", "Cl"],
  "frac_coords": [[0.000, 0.000, 0.000], [0.500, 0.500, 0.000], [0.000, 0.500, 0.280], [0.000, 0.500, 0.720], [0.500, 0.000, 0.280], [0.500, 0.000, 0.720], [0.000, 0.000, 0.500], [0.500, 0.500, 0.500]],
  "total_magnetization_mub_per_cell": 0.0,
  "dft_energy_ha_per_atom": -0.1043,
  "formation_energy_uncorrected_kj_per_mol_atoms": -38.61
}